{"formula": "Li5Nb2Ni5O12", "functional": "GGA+U", "state": "relaxed", "final_energy_ev_per_atom": -6.014, "polymorph_energy_kj_per_mol_atoms": 0.0, "mass_density_g_cm3": 5.104, "cell": [[-3.8699, 2.6684, -2.2992], [-0.9517, -4.3311, 2.7783], [-3.0067, 4.7714, 8.3057]], "species": ["Li", "Ni", "Li", "Ni", "Ni", "O", "Li", "O", "Li", "O", "O", "Ni", "O", "O", "Ni", "O", "O", "Nb", "Li", "O", "O", "Nb", "O", "O"], "frac_coords": [[0.6876, 0.8256, 0.2552], [0.4206, 0.5794, 0.0000], [0.8160, 0.6785, 0.7431], [0.5042, 0.0019, 0.7466], [0.0811, 0.9189, 0.0000], [0.9706, 0.7827, 0.3784], [0.9175, 0.0825, 0.5000], [0.0365, 0.2118, 0.1237], [0.1744, 0.3124, 0.7448], [0.3793, 0.8769, 0.1173], [0.1231, 0.6207, 0.8827], [0.9981, 0.4958, 0.2534], [0.8769, 0.3875, 0.6194], [0.6125, 0.1231, 0.3806], [0.5805, 0.4195, 0.5000], [0.7882, 0.9635, 0.8763], [0.7135, 0.5355, 0.1230], [0.7504, 0.2496, 0.0000], [0.3215, 0.1840, 0.2569], [0.2173, 0.0294, 0.6216], [0.5230, 0.7077, 0.6193], [0.2503, 0.7497, 0.5000], [0.2923, 0.4770, 0.3807], [0.4645, 0.2865, 0.8770]]}